1.
Pu6Pd3Rh PBE-GGA relaxed; space group = P6_322, No. 182; raw total energy = -10.664 eV/atom; volume = 18.8 Å³/atom
1.0
-4.2089 -1.2499 -3.7330
-0.2318 -2.0288 5.3891
-6.5062 10.7064 3.7507
Rh Pu Pd
2 12 6
Direct
0.3333 0.6667 0.2500 Rh
0.6667 0.3333 0.7500 Rh
0.8626 0.6337 0.3361 Pu
0.1374 0.3663 0.8361 Pu
0.6337 0.7711 0.8361 Pu
0.7711 0.1374 0.3361 Pu
0.6337 0.8626 0.6639 Pu
0.1374 0.7711 0.6639 Pu
0.3663 0.1374 0.1639 Pu
0.2289 0.3663 0.6639 Pu
0.8626 0.2289 0.1639 Pu
0.2289 0.8626 0.8361 Pu
0.7711 0.6337 0.1639 Pu
0.3663 0.2289 0.3361 Pu
0.6667 0.3333 0.9585 Pd
0.3333 0.6667 0.0415 Pd
0.3333 0.6667 0.4585 Pd
0.0000 0.0000 0.0000 Pd
0.6667 0.3333 0.5415 Pd
0.0000 0.0000 0.5000 Pd

---

2.
RbAg2Cl PBE-GGA relaxed; space group = I4_1/amd, No. 141; offset from the most stable computed form = 0.000 eV/atom; energy relative to the elements, uncorrected = -0.227 eV/atom; volume = 38.0 Å³/atom
1.0
5.1959 0.0000 0.0000
0.0000 5.1959 0.0000
2.5980 2.5980 11.2566
Ag Cl Rb
4 2 2
Direct
0.3747 0.6250 0.2500 Ag
0.8750 0.6253 0.7500 Ag
0.3750 0.6247 0.7500 Ag
0.3753 0.1250 0.2500 Ag
0.2500 0.7500 0.5000 Cl
0.5000 0.5000 0.0000 Cl
0.0000 0.0000 0.0000 Rb
0.7500 0.2500 0.5000 Rb

---

3.
Cs3Na2RhO6 PBE-GGA relaxed; space group = C2/m, No. 12; energy relative to the elements, uncorrected = -0.948 eV/atom; volume = 18.3 Å³/atom
1.0
-2.9935 -5.2429 1.7747
0.4565 1.5029 -6.0936
6.3341 -2.0472 1.0221
O Cs Na Rh
6 3 2 1
Direct
0.6795 0.9382 0.8302 O
0.9382 0.6795 0.8302 O
0.0618 0.3205 0.1698 O
0.1992 0.1992 0.8217 O
0.3205 0.0618 0.1698 O
0.8008 0.8008 0.1783 O
0.1711 0.8289 0.5000 Cs
0.8289 0.1711 0.5000 Cs
0.5000 0.5000 0.5000 Cs
0.6655 0.3345 0.0000 Na
0.3345 0.6655 0.0000 Na
0.0000 0.0000 0.0000 Rh